(1)
Entry from the Alexandria database: a relaxed NbNi4Ag crystal (PBE-GGA).

Structure (POSCAR):
```
NbNi4Ag
1.0
4.781 0.000 0.000
2.390 4.140 0.000
2.390 1.380 3.903
Nb Ni Ag
1 4 1
direct
0.000 0.000 0.000
0.625 0.125 0.625
0.625 0.625 0.125
0.125 0.625 0.625
0.625 0.625 0.625
0.250 0.250 0.250
```

Properties
As for the symmetry: F-43m (216). Its total energy is -6.146 eV/atom. Its density of states at the Fermi level is 0.53 states/eV per atom.

---

(2)
Entry from the Alexandria database: a relaxed Nb2NiAg crystal (PBE-GGA).

Structure (POSCAR):
```
Nb2NiAg
1.0
-0.167 -4.430 -0.992
-3.412 -1.638 -2.512
0.779 -1.407 -4.249
Ni Ag Nb
1 1 2
direct
0.000 0.000 0.000
0.500 0.500 0.500
0.750 0.750 0.750
0.250 0.250 0.250
```

Properties
As for the symmetry: Fm-3m (225). The value obtained for the excess energy over the best structure of this formula in the dataset is 0.0 meV per atom. Its total energy is -6.844 eV/atom. Its density of states at the Fermi level is 1.17 states/eV per atom.

---

(3)
Entry from the Alexandria database: a relaxed NbNi3Ag crystal (PBE-GGA).

Structure (POSCAR):
```
NbNi3Ag
1.0
-1.124 4.372 -0.434
-4.374 -1.071 0.536
0.414 0.552 4.482
Ag Ni Nb
1 3 1
direct
0.500 0.500 0.500
0.500 0.000 0.000
0.000 0.500 0.000
0.000 0.000 0.500
0.000 0.000 0.000
```

Properties
As for the symmetry: Pm-3m (221). The value obtained for the excess energy over the best structure of this formula in the dataset is 0.0 meV per atom. Its total energy is -4.837 eV/atom. Its density of states at the Fermi level is 1.00 states/eV per atom.

---

(4)
Entry from the Alexandria database: a relaxed NbNi2Ag crystal (PBE-GGA).

Structure (POSCAR):
```
NbNi2Ag
1.0
6.793 0.000 0.000
0.000 6.793 0.000
3.397 3.397 2.726
Ni Ag Nb
4 2 2
direct
0.141 0.625 0.250
0.375 0.391 0.750
0.609 0.125 0.250
0.875 0.859 0.750
0.750 0.250 0.500
0.000 0.000 0.000
0.500 0.500 0.000
0.250 0.750 0.500
```

Properties
As for the symmetry: I-42d (122). The value obtained for the excess energy over the best structure of this formula in the dataset is 457.5 meV per atom. Its total energy is -5.631 eV/atom. Its density of states at the Fermi level is 0.86 states/eV per atom.

---

(5)
Entry from the Alexandria database: a relaxed Nb2NiAg2 crystal (PBE-GGA).

Structure (POSCAR):
```
Nb2NiAg2
1.0
-0.557 -2.849 -2.262
3.064 0.866 -1.845
4.992 -5.116 2.220
Ni Ag Nb
1 2 2
direct
0.000 0.000 0.000
0.592 0.592 0.815
0.408 0.408 0.185
0.750 0.250 0.500
0.250 0.750 0.500
```

Properties
As for the symmetry: I4/mmm (139). The value obtained for the excess energy over the best structure of this formula in the dataset is 68.9 meV per atom. Its total energy is -5.554 eV/atom. Its density of states at the Fermi level is 0.84 states/eV per atom.

---

(6)
Entry from the Alexandria database: a relaxed Nb2NiAg2 crystal (PBE-GGA).

Structure (POSCAR):
```
Nb2NiAg2
1.0
7.873 0.000 0.000
0.000 7.873 0.000
0.000 0.000 2.883
Nb Ni Ag
4 2 4
direct
0.823 0.323 0.500
0.323 0.177 0.500
0.677 0.823 0.500
0.177 0.677 0.500
0.500 0.500 0.000
0.000 0.000 0.000
0.622 0.122 0.000
0.378 0.878 0.000
0.878 0.622 0.000
0.122 0.378 0.000
```

Properties
As for the symmetry: P4/mbm (127). The value obtained for the excess energy over the best structure of this formula in the dataset is 0.0 meV per atom. Its total energy is -5.623 eV/atom. Its density of states at the Fermi level is 0.99 states/eV per atom.

---

(7)
Entry from the Alexandria database: a relaxed NbNi2Ag crystal (PBE-GGA).

Structure (POSCAR):
```
NbNi2Ag
1.0
-0.030 -4.192 1.032
-0.980 -1.227 4.022
-3.742 -2.001 0.795
Ni Ag Nb
2 1 1
direct
0.250 0.250 0.250
0.750 0.750 0.750
0.500 0.500 0.500
0.000 0.000 0.000
```

Properties
As for the symmetry: Fm-3m (225). The value obtained for the excess energy over the best structure of this formula in the dataset is 7.0 meV per atom. Its total energy is -6.082 eV/atom. Its density of states at the Fermi level is 1.01 states/eV per atom.

---

(8)
Entry from the Alexandria database: a relaxed NbNi2Ag2 crystal (PBE-GGA).

Structure (POSCAR):
```
NbNi2Ag2
1.0
6.386 0.000 0.000
0.000 6.386 0.000
0.000 0.000 3.808
Ag Ni Nb
4 4 2
direct
0.833 0.333 0.500
0.167 0.667 0.500
0.333 0.167 0.500
0.667 0.833 0.500
0.869 0.631 0.000
0.369 0.869 0.000
0.131 0.369 0.000
0.631 0.131 0.000
0.500 0.500 0.000
0.000 0.000 0.000
```

Properties
As for the symmetry: P4/mbm (127). Its total energy is -5.179 eV/atom. Its density of states at the Fermi level is 0.74 states/eV per atom.

---

(9)
Entry from the Alexandria database: a relaxed NbNi2Ag crystal (PBE-GGA).

Structure (POSCAR):
```
NbNi2Ag
1.0
-1.419 -2.507 0.568
1.892 -1.458 -1.709
4.004 -1.057 5.333
Ag Ni Nb
1 2 1
direct
0.500 0.500 0.500
0.000 0.000 0.241
0.000 0.000 0.759
0.500 0.500 0.000
```

Properties
As for the symmetry: P4/mmm (123). The value obtained for the excess energy over the best structure of this formula in the dataset is 0.0 meV per atom. Its total energy is -6.089 eV/atom. Its density of states at the Fermi level is 0.92 states/eV per atom.